(1)
The following is a DFT calculation (GGA-PBE) of Be3Ir2 after structural relaxation.

The space group is Fdd2 (No. 43) and the conventional cell measures 7.760, 11.452 and 4.699 Å, with angles of 90.00, 90.00 and 90.00 degrees. The inequivalent atoms are Be at (0.000, 0.000, 0.000), Be at (0.063, 0.383, 0.119) and Ir at (0.065, 0.303, 0.628).

For the raw total energy, the calculation gives -249.3 eV per cell. The crystal system is orthorhombic.

(2)
The following is a DFT calculation (GGA-PBE) of Mg5Ga4Ag4 after structural relaxation.

The space group is I4/m (No. 87) and the conventional cell measures 11.056, 11.056 and 4.169 Å, with angles of 90.00, 90.00 and 90.00 degrees. The inequivalent atoms are Mg at (0.000, 0.000, 0.000), Mg at (0.128, 0.796, 0.500), Ga at (0.084, 0.393, 0.500) and Ag at (0.064, 0.236, 0.000).

For the raw total energy, the calculation gives -65.6 eV per cell. The crystal system is tetragonal.

(3)
The following is a DFT calculation (GGA-PBE) of Ag2HgW after structural relaxation.

The space group is P4/mmm (No. 123) and the conventional cell measures 4.087, 4.087 and 4.356 Å, with angles of 90.00, 90.00 and 90.00 degrees. The inequivalent atoms are Ag at (0.000, 0.500, 0.000), Hg at (0.000, 0.000, 0.500) and W at (0.500, 0.500, 0.500).

For the raw total energy, the calculation gives -15.6 eV per cell. The crystal system is tetragonal.